(1)
This record from Alexandria describes an optimized crystal structure of Sc3TiBe. The functional is GGA-PBE.

Calculated values
Excess energy over the best structure of this formula in the dataset in meV/atom: 0
Formation enthalpy at 0 K in eV/atom: 0.47
Calculated total energy in eV/atom: -5.649

a b c (Å): 4.8215 4.8215 4.8215
angles (deg): 90.00 90.00 90.00
Last column: magnetic moment on the atom in μB.
Element x y z (fractional)
Sc 0.0000 0.0000 0.5000  0.04
Sc 0.5000 0.0000 0.0000  -0.04
Sc 0.0000 0.5000 0.0000  -0.03
Be 0.0000 0.0000 0.0000  -0.06
Ti 0.5000 0.5000 0.5000  1.14

---

(2)
This record from Alexandria describes an optimized crystal structure of InTcAsBr2. The functional is GGA-PBE.

Calculated values
Raw formation energy in eV/f.u.: 4.485
Excess energy over the best structure of this formula in the dataset in meV/atom: 800
Calculated total energy in eV/atom: -3.323

a b c (Å): 5.3452 5.3452 5.4863
angles (deg): 90.00 90.00 90.00
Last column: magnetic moment on the atom in μB.
Element x y z (fractional)
Tc 0.5000 0.5000 0.5000  4.01
Br 0.0000 0.5000 0.0000  0.04
Br 0.5000 0.0000 0.0000  0.04
In 0.0000 0.0000 0.0000  0.01
As 0.0000 0.0000 0.5000  -0.13

---

(3)
This record from Alexandria describes an optimized crystal structure of KCuAuO2. The functional is GGA-PBE.

Calculated values
Raw formation energy in eV/f.u.: -3.068
Calculated total energy in eV/atom: -4.291

a b c (Å): 4.8561 5.9056 6.7565
angles (deg): 115.91 90.00 90.00
Last column: magnetic moment on the atom in μB.
Element x y z (fractional)
Cu 0.5000 0.7500 0.0000  0.48
Cu 0.5000 0.2500 0.0000  0.48
Au 0.0000 0.5000 0.0000  0.10
Au 0.0000 0.0000 0.0000  0.10
O 0.3492 0.4013 0.8026  0.18
O 0.3492 0.0987 0.1974  0.18
O 0.6508 0.5987 0.1974  0.18
O 0.6508 0.9013 0.8026  0.18
K 0.2669 0.7500 0.5000  0.00
K 0.7331 0.2500 0.5000  0.00

---

(4)
This record from Alexandria describes an optimized crystal structure of Ca3VFe. The functional is GGA-PBE.

Calculated values
Excess energy over the best structure of this formula in the dataset in meV/atom: 355
Formation enthalpy at 0 K in eV/atom: 1.21
Calculated total energy in eV/atom: -3.507

a b c (Å): 5.6156 5.6156 5.6156
angles (deg): 90.00 90.00 90.00
Last column: magnetic moment on the atom in μB.
Element x y z (fractional)
Ca 0.0000 0.5000 0.0000  0.11
Ca 0.0000 0.0000 0.5000  0.11
Ca 0.5000 0.0000 0.0000  0.11
Fe 0.5000 0.5000 0.5000  3.22
V 0.0000 0.0000 0.0000  3.12

---

(5)
This record from Alexandria describes an optimized crystal structure of TiGa2Ag2. The functional is GGA-PBE.

Calculated values
Excess energy over the best structure of this formula in the dataset in meV/atom: 0
Formation enthalpy at 0 K in eV/atom: 0.04
Calculated total energy in eV/atom: -3.893

a b c (Å): 3.8687 3.8687 6.5728
angles (deg): 72.88 72.88 90.00
Element x y z (fractional)
Ga 0.4020 0.4020 0.1960
Ga 0.5980 0.5980 0.8040
Ti 0.0000 0.0000 0.0000
Ag 0.2500 0.7500 0.5000
Ag 0.7500 0.2500 0.5000

---

(6)
This record from Alexandria describes an optimized crystal structure of PmTh4Se6. The functional is GGA-PBE.

Calculated values
Raw formation energy in eV/f.u.: -18.118
Calculated total energy in eV/atom: -6.678

a b c (Å): 4.0486 7.3166 21.0507
angles (deg): 90.00 90.00 106.06
Element x y z (fractional)
Se 0.2363 0.4725 0.5992
Se 0.2363 0.4725 0.9008
Se 0.0564 0.1128 0.3329
Se 0.5000 0.0000 0.0000
Se 0.7637 0.5275 0.4008
Se 0.9436 0.8872 0.6671
Se 0.7637 0.5275 0.0992
Se 0.9436 0.8872 0.8329
Se 0.3154 0.6308 0.2500
Se 0.5000 0.0000 0.5000
Se 0.6846 0.3692 0.7500
Se 0.0564 0.1128 0.1671
Pm 0.3393 0.6787 0.7500
Pm 0.6607 0.3213 0.2500
Th 0.5884 0.1768 0.6243
Th 0.4116 0.8232 0.3757
Th 0.5884 0.1768 0.8757
Th 0.8566 0.7132 0.5359
Th 0.8566 0.7132 0.9641
Th 0.4116 0.8232 0.1243
Th 0.1434 0.2868 0.4641
Th 0.1434 0.2868 0.0359